1.
# LiTiZnAu | Alexandria | GGA-PBE | optimized geometry
# * ΔE_f: -317 meV/atom
data_LiTiZnAu
_chemical_formula_sum 'Li1 Ti1 Zn1 Au1'
_cell_length_a 4.445
_cell_length_b 4.445
_cell_length_c 4.445
_cell_angle_alpha 60.00
_cell_angle_beta 60.00
_cell_angle_gamma 60.00
_space_group_name_H-M_alt 'P 1'
_space_group_IT_number 1
_space_group_name_Hall 'P 1'
loop_
_atom_site_label
_atom_site_type_symbol
_atom_site_fract_x
_atom_site_fract_y
_atom_site_fract_z
_atom_site_occupancy
Li1 Li 0.500 0.500 0.500 1
Ti1 Ti 0.000 0.000 0.000 1
Au1 Au 0.250 0.250 0.250 1
Zn1 Zn 0.750 0.750 0.750 1


2.
# CeHo2Ga6 | Alexandria | GGA-PBE | optimized geometry
# * ΔE_f: -451 meV/atom
# * E above lowest polymorph: 0.158 eV/atom
data_CeHo2Ga6
_chemical_formula_sum 'Ce1 Ho2 Ga6'
_cell_length_a 4.327
_cell_length_b 7.133
_cell_length_c 7.774
_cell_angle_alpha 117.31
_cell_angle_beta 106.16
_cell_angle_gamma 90.00
_space_group_name_H-M_alt 'P 1'
_space_group_IT_number 1
_space_group_name_Hall 'P 1'
loop_
_atom_site_label
_atom_site_type_symbol
_atom_site_fract_x
_atom_site_fract_y
_atom_site_fract_z
_atom_site_occupancy
Ga1 Ga 0.500 0.817 0.000 1
Ho1 Ho 0.125 0.125 0.251 1
Ga2 Ga 0.315 0.119 0.629 1
Ga3 Ga 0.500 0.183 0.000 1
Ho2 Ho 0.875 0.875 0.749 1
Ga4 Ga 0.685 0.881 0.371 1
Ga5 Ga 0.685 0.490 0.371 1
Ga6 Ga 0.315 0.510 0.629 1
Ce1 Ce 0.000 0.500 0.000 1


3.
# DyLu2Sb | Alexandria | GGA-PBE | optimized geometry
# * E above lowest polymorph: 0.000 eV/atom
data_DyLu2Sb
_chemical_formula_sum 'Dy1 Lu2 Sb1'
_cell_length_a 3.903
_cell_length_b 3.903
_cell_length_c 7.274
_cell_angle_alpha 90.00
_cell_angle_beta 90.00
_cell_angle_gamma 90.00
_space_group_name_H-M_alt 'P 1'
_space_group_IT_number 1
_space_group_name_Hall 'P 1'
loop_
_atom_site_label
_atom_site_type_symbol
_atom_site_fract_x
_atom_site_fract_y
_atom_site_fract_z
_atom_site_occupancy
Lu1 Lu 0.000 0.000 0.775 1
Lu2 Lu 0.000 0.000 0.225 1
Dy1 Dy 0.500 0.500 0.500 1
Sb1 Sb 0.500 0.500 0.000 1